VASP calculation (PBE with a Hubbard U) on an optimized crystal structure of RbCrH8N2O8.

* total magnetic moment: 0.0467 μB/atom
* energy: -103.90 eV/cell

Lattice parameters (Å, degrees): 6.7268 6.7268 6.7268 118.91 118.91 91.89
Each line ends with the local moment (μB).
Sites, in units of the cell vectors:
1 O 0.7960 0.2009 0.0000  -0.06
2 Rb 0.5000 0.5000 0.0000  0.00
3 H 0.8441 0.4349 0.6561  0.00
4 O 0.2009 0.7960 0.0000  -0.06
5 O 0.9990 0.7131 0.0000  -0.08
6 O 0.0010 0.0010 0.7141  -0.08
7 N 0.2500 0.7500 0.5000  0.00
8 O 0.2869 0.2869 0.2859  -0.08
9 O 0.2040 0.2040 0.4049  -0.06
10 H 0.7787 0.1880 0.3439  0.00
11 H 0.1559 0.8120 0.5908  0.00
12 Cr 0.0000 0.0000 0.0000  1.57
13 H 0.8120 0.1559 0.5908  0.00
14 O 0.7991 0.7991 0.5951  -0.06
15 H 0.4349 0.8441 0.6561  0.00
16 O 0.7131 0.9990 0.0000  -0.08
17 H 0.2213 0.5651 0.4092  0.00
18 N 0.7500 0.2500 0.5000  0.00
19 H 0.1880 0.7787 0.3439  0.00
20 H 0.5651 0.2213 0.4092  0.00